First-principles (PBE-GGA) data for a geometry-optimized Tc2MoAs structure, as listed in Alexandria. Values from VASP.

```
&SYSTEM
  ibrav = 0, nat = 8, ntyp = 3
/
ATOMIC_SPECIES
Tc 98.00 Tc.upf
Mo 95.94 Mo.upf
As 74.92 As.upf
ATOMIC_POSITIONS angstrom
Tc 0.000 0.000 0.000
Tc 0.000 1.861 2.145
Tc 1.861 0.000 6.435
Tc 1.861 1.861 4.290
Mo 0.000 0.000 4.290
Mo 1.861 1.861 0.000
As 0.000 1.861 6.435
As 1.861 0.000 2.145
CELL_PARAMETERS angstrom
3.723 0.000 0.000
0.000 3.723 0.000
0.000 0.000 8.581
```

Output
The calculation puts the energy at -8.9374 eV per atom. Its total magnetization is 0.00 μB/cell. The calculation puts the calculated volume at 14.9 Å³ per atom. The space-group type is I-4m2 (119). The calculation puts the energy of formation at 11 kJ/mol of atoms. The value obtained for the density of states at the Fermi level is 6.4 states/eV per cell. The density comes out at 10.245 Mg/m³.